Entry 1:
## Zn2CdCu (PBE)

Data for an optimized crystal structure of Zn2CdCu.

Values from the calculation:
energy relative to the elements	0.07	eV per atom
magnetization	0.0	Bohr magnetons per cell
density	8.04	g/cm³
DOS at the Fermi energy	0.64	states/eV/cell

abc: 2.769 4.340 5.423
angles: 90.00 103.46 90.00
Atoms (fractional coordinates):
Zn  0.177  0.000  0.277
Zn  0.823  0.000  0.723
Cd  0.500  0.500  0.000
Cu  0.000  0.500  0.500

***

Entry 2:
## HgTeI2Br (PBE)

Data for an optimized crystal structure of HgTeI2Br.

Values from the calculation:
polymorph energy (0 for the lowest one)	0.30	eV/f.u.
magnetization	0.0	Bohr magnetons per cell
formation energy (no corrections)	0.458	eV per atom
density	5.43	g/cm³
DOS at the Fermi energy	3.92	states/eV/cell

abc: 5.977 5.977 5.664
angles: 90.00 90.00 90.00
Atoms (fractional coordinates):
Hg  0.000  0.000  0.000
Te  0.500  0.500  0.000
I  0.000  0.500  0.500
I  0.500  0.000  0.500
Br  0.500  0.500  0.500

***

Entry 3:
## Mg2ZnIn2 (PBE)

Data for an optimized crystal structure of Mg2ZnIn2.

Values from the calculation:
polymorph energy (0 for the lowest one)	0.45	eV/f.u.
energy relative to the elements	0.05	eV per atom
magnetization	0.0	Bohr magnetons per cell
density	4.82	g/cm³
DOS at the Fermi energy	3.44	states/eV/cell

abc: 7.195 7.195 4.571
angles: 90.00 90.00 90.00
Atoms (fractional coordinates):
Mg  0.150  0.350  0.000
Mg  0.350  0.850  0.000
Mg  0.650  0.150  0.000
Mg  0.850  0.650  0.000
Zn  0.000  0.000  0.000
Zn  0.500  0.500  0.000
In  0.159  0.659  0.500
In  0.341  0.159  0.500
In  0.659  0.841  0.500
In  0.841  0.341  0.500

***

Entry 4:
## Ce3Pr4DySe8 (PBE)

Data for an optimized crystal structure of Ce3Pr4DySe8.

Values from the calculation:
magnetization	2.8	Bohr magnetons per cell
formation energy (no corrections)	-1.829	eV per atom
density	6.95	g/cm³
DOS at the Fermi energy	21.93	states/eV/cell

abc: 8.445 8.445 8.445
angles: 59.89 59.89 59.89
Atoms (fractional coordinates):
Ce  0.000  0.500  0.500
Ce  0.500  0.000  0.500
Ce  0.500  0.500  0.000
Pr  0.000  0.000  0.500
Pr  0.000  0.500  0.000
Pr  0.500  0.000  0.000
Pr  0.500  0.500  0.500
Dy  0.000  0.000  0.000
Se  0.244  0.244  0.752
Se  0.244  0.752  0.244
Se  0.248  0.756  0.756
Se  0.252  0.252  0.252
Se  0.748  0.748  0.748
Se  0.752  0.244  0.244
Se  0.756  0.248  0.756
Se  0.756  0.756  0.248

***

Entry 5:
## NdMg4Cd8 (PBE)

Data for an optimized crystal structure of NdMg4Cd8.

Values from the calculation:
energy relative to the elements	-0.18	eV per atom
magnetization	0.0	Bohr magnetons per cell
density	6.43	g/cm³
DOS at the Fermi energy	3.21	states/eV/cell

abc: 7.606 7.606 7.606
angles: 99.10 99.10 133.14
Atoms (fractional coordinates):
Nd  0.000  0.000  0.000
Mg  0.000  0.000  0.500
Mg  0.000  0.500  0.000
Mg  0.500  0.000  0.000
Mg  0.500  0.500  0.500
Cd  0.000  0.347  0.347
Cd  0.000  0.653  0.653
Cd  0.284  0.500  0.784
Cd  0.347  0.000  0.347
Cd  0.500  0.284  0.784
Cd  0.500  0.716  0.216
Cd  0.653  0.000  0.653
Cd  0.716  0.500  0.216

***

Entry 6:
## ZnInCl3 (PBE)

Data for an optimized crystal structure of ZnInCl3.

Values from the calculation:
polymorph energy (0 for the lowest one)	0.25	eV/f.u.
magnetization	0.0	Bohr magnetons per cell
formation energy (no corrections)	-0.976	eV per atom
density	2.66	g/cm³
DOS at the Fermi energy	0.00	states/eV/cell

abc: 8.664 8.664 8.664
angles: 50.64 50.64 50.64
Atoms (fractional coordinates):
Zn  0.250  0.250  0.250
Zn  0.750  0.750  0.750
In  0.000  0.000  0.000
In  0.500  0.500  0.500
Cl  0.048  0.750  0.452
Cl  0.250  0.548  0.952
Cl  0.452  0.048  0.750
Cl  0.548  0.952  0.250
Cl  0.750  0.452  0.048
Cl  0.952  0.250  0.548

***

Please write out number 4 again, unchanged.
## Ce3Pr4DySe8 (PBE)

Data for an optimized crystal structure of Ce3Pr4DySe8.

Values from the calculation:
magnetization	2.8	Bohr magnetons per cell
formation energy (no corrections)	-1.829	eV per atom
density	6.95	g/cm³
DOS at the Fermi energy	21.93	states/eV/cell

abc: 8.445 8.445 8.445
angles: 59.89 59.89 59.89
Atoms (fractional coordinates):
Ce  0.000  0.500  0.500
Ce  0.500  0.000  0.500
Ce  0.500  0.500  0.000
Pr  0.000  0.000  0.500
Pr  0.000  0.500  0.000
Pr  0.500  0.000  0.000
Pr  0.500  0.500  0.500
Dy  0.000  0.000  0.000
Se  0.244  0.244  0.752
Se  0.244  0.752  0.244
Se  0.248  0.756  0.756
Se  0.252  0.252  0.252
Se  0.748  0.748  0.748
Se  0.752  0.244  0.244
Se  0.756  0.248  0.756
Se  0.756  0.756  0.248

***

Number 5 is which compound? NdMg4Cd8

***

Among the records above, which one has the highest density? Zn2CdCu